The following is a DFT calculation (GGA+U) of BeInCoNF after structural relaxation.

a = 6.181 Å, b = 2.882 Å, c = 7.592 Å
α = 90.00°, β = 93.45°, γ = 90.00°
Space group Cm (No. 8)
Unique sites:
Be1 0.000 0.000 0.000
In1 0.469 0.500 0.513
Co1 0.277 0.000 0.219
N1 0.061 0.500 0.106
F1 0.412 0.500 0.809

Results
Fermi-level density of states   2.82 states/eV/cell
Raw total energy   -5.079 eV per atom
Distance to the lowest polymorph of the same formula   47 meV per atom